Record 1
{"formula": "MgGa4NiRh2", "functional": "PBE", "state": "optimized geometry", "lattice_angstrom": [[-1.8841, 2.6419, -2.8941], [1.0011, -0.3292, -4.2184], [-5.5430, -3.9344, -3.2493]], "species": ["Mg", "Ga", "Ga", "Ga", "Ga", "Ni", "Rh", "Rh"], "frac_coords": [[0.0000, 0.0000, 0.0000], [0.3836, 0.3836, 0.8491], [0.8665, 0.8665, 0.4004], [0.1335, 0.1335, 0.5996], [0.6164, 0.6164, 0.1509], [0.5000, 0.5000, 0.5000], [0.7438, 0.7438, 0.7686], [0.2562, 0.2562, 0.2314]], "dft_energy_ev_per_cell": -37.551, "formation_enthalpy_0k_ev_per_atom": -0.42, "crystal_system": "trigonal"}

Record 2
{"formula": "NdSm3Th2", "functional": "PBE", "state": "optimized geometry", "lattice_angstrom": [[3.6219, 0.0000, 0.0000], [0.0000, 10.1499, 1.2003], [0.0000, -1.2454, 10.7897]], "species": ["Nd", "Nd", "Sm", "Sm", "Sm", "Sm", "Sm", "Sm", "Th", "Th", "Th", "Th"], "frac_coords": [[0.2500, 0.8759, 0.7497], [0.7500, 0.1241, 0.2503], [0.7500, 0.1349, 0.5827], [0.2500, 0.8651, 0.4173], [0.7500, 0.6246, 0.2497], [0.2500, 0.3754, 0.7503], [0.2500, 0.3670, 0.0828], [0.7500, 0.6330, 0.9172], [0.2500, 0.3816, 0.4197], [0.7500, 0.6184, 0.5803], [0.7500, 0.1204, 0.9197], [0.2500, 0.8796, 0.0803]], "dft_energy_ev_per_cell": -66.985, "de_polymorph_ev_per_atom": 0.000, "formation_enthalpy_0k_ev_per_atom": 0.05, "crystal_system": "monoclinic"}

Record 3
{"formula": "K4PmRu3O12", "functional": "PBE", "state": "optimized geometry", "lattice_angstrom": [[-1.8935, -6.4195, 2.3158], [6.9200, 0.9771, 1.1472], [-3.6905, 4.9464, 3.4743]], "species": ["K", "K", "K", "K", "Pm", "Ru", "Ru", "Ru", "O", "O", "O", "O", "O", "O", "O", "O", "O", "O", "O", "O"], "frac_coords": [[0.5000, 0.5000, 0.5000], [0.0000, 0.0000, 0.5000], [0.5000, 0.0000, 0.0000], [0.0000, 0.5000, 0.0000], [0.0000, 0.0000, 0.0000], [0.5000, 0.0000, 0.5000], [0.5000, 0.5000, 0.0000], [0.0000, 0.5000, 0.5000], [0.2500, 0.5000, 0.7500], [0.7266, 0.0000, 0.7266], [0.2734, 0.0000, 0.2734], [0.7500, 0.5000, 0.2500], [0.7266, 0.7266, 0.0000], [0.2734, 0.2734, 0.0000], [0.7500, 0.2500, 0.5000], [0.2500, 0.7500, 0.5000], [0.5000, 0.2500, 0.7500], [0.0000, 0.7266, 0.7266], [0.5000, 0.7500, 0.2500], [0.0000, 0.2734, 0.2734]], "dft_energy_ev_per_cell": -123.674, "raw_formation_energy_ev_per_atom": -1.360, "crystal_system": "cubic"}

Record 4
{"formula": "HgSCl2O", "functional": "PBE", "state": "optimized geometry", "lattice_angstrom": [[-0.1128, -5.1021, -0.3343], [5.0988, -0.0874, -0.3869], [0.3952, -0.3553, 5.2893]], "species": ["S", "Hg", "O", "Cl", "Cl"], "frac_coords": [[0.0000, 0.0000, 0.5000], [0.0000, 0.0000, 0.0000], [0.5000, 0.5000, 0.5000], [0.0000, 0.5000, 0.0000], [0.5000, 0.0000, 0.0000]], "dft_energy_ev_per_cell": -8.283, "raw_formation_energy_ev_per_atom": 0.959, "de_polymorph_ev_per_atom": 0.375, "crystal_system": "tetragonal"}